# HICl3 | Alexandria | PBE-GGA | relaxed
# E above lowest polymorph = 829 meV per atom
# mass density = 4.12 g/cm³
data_HICl3
_chemical_formula_sum 'H1 I1 Cl3'
_space_group_name_H-M_alt 'P 1'
_space_group_IT_number 1
_cell_length_a 4.555
_cell_length_b 4.555
_cell_length_c 4.555
_cell_angle_alpha 90.00
_cell_angle_beta 90.00
_cell_angle_gamma 90.00
loop_
_space_group_symop_operation_xyz
'x,y,z'
loop_
_atom_site_label
_atom_site_fract_x
_atom_site_fract_y
_atom_site_fract_z
H1 0.000 0.000 0.000
I1 0.500 0.500 0.500
Cl1 0.000 0.000 0.500
Cl2 0.000 0.500 0.000
Cl3 0.500 0.000 0.000